# 1
# ReSi2Ag PBE-GGA relaxed
data_ReSi2Ag
_chemical_formula_sum 'Re1 Si2 Ag1'
_space_group_name_H-M_alt 'P 1'
_space_group_IT_number 1
_space_group_name_Hall 'P 1'
_cell_length_a 2.888
_cell_length_b 5.141
_cell_length_c 4.180
_cell_angle_alpha 90.00
_cell_angle_beta 90.00
_cell_angle_gamma 90.00
loop_
_atom_site_label
_atom_site_type_symbol
_atom_site_fract_x
_atom_site_fract_y
_atom_site_fract_z
Ag1 Ag 0.500 0.000 0.500
Re1 Re 0.000 0.500 0.500
Si1 Si 0.000 0.000 0.000
Si2 Si 0.500 0.500 0.000
# ΔE_f (raw) in eV per atom: 0.516
# Space-group type: No. 47
# Final energy in eV per cell: -24.08
# Total magnetization in μB per cell: 0.0

=====

# 2
# ReSi2Ag PBE-GGA relaxed
data_ReSi2Ag
_chemical_formula_sum 'Re1 Si2 Ag1'
_space_group_name_H-M_alt 'P 1'
_space_group_IT_number 1
_space_group_name_Hall 'P 1'
_cell_length_a 4.305
_cell_length_b 4.305
_cell_length_c 3.134
_cell_angle_alpha 90.00
_cell_angle_beta 90.00
_cell_angle_gamma 89.99
loop_
_atom_site_label
_atom_site_type_symbol
_atom_site_fract_x
_atom_site_fract_y
_atom_site_fract_z
Ag1 Ag 0.500 0.000 0.500
Re1 Re 0.000 0.500 0.500
Si1 Si 0.000 0.000 0.000
Si2 Si 0.500 0.500 0.000
# ΔE_f (raw) in eV per atom: 0.349
# Space-group type: No. 123
# Final energy in eV per cell: -24.75
# Total magnetization in μB per cell: 0.0